Record 1
Er2HgRh | PBE-GGA | optimized geometry

Polymorph energy (0 for the lowest one): 0.127 eV/atom
Calculated formation energy: -0.598 eV per atom
Crystal system: trigonal
Fermi-level density of states: 1.8 states/eV/f.u.

a = 7.8386 Å, b = 7.8386 Å, c = 7.8386 Å
α = 29.33°, β = 29.33°, γ = 29.33°
Positions (direct):
Er 0.0000 0.0000 0.0000
Er 0.1994 0.1994 0.1994
Hg 0.4337 0.4337 0.4337
Rh 0.5985 0.5985 0.5985


Record 2
Na2Au2I5 | PBE-GGA | optimized geometry

Energy relative to the elements, uncorrected: -0.515 eV per atom
Crystal system: orthorhombic
Fermi-level density of states: 2.3 states/eV/f.u.

a = 11.2729 Å, b = 11.2729 Å, c = 11.2729 Å
α = 62.93°, β = 136.97°, γ = 136.40°
Positions (direct):
Na 0.0494 0.1103 0.1597
Na 0.0494 0.3897 0.4390
Na 0.9506 0.6103 0.5610
Na 0.9506 0.8897 0.8403
Au 0.4055 0.1556 0.7499
Au 0.4056 0.6556 0.2501
Au 0.5973 0.0973 0.5000
Au 0.5973 0.5973 0.0000
I 0.0020 0.3571 0.1448
I 0.0984 0.3720 0.7716
I 0.0984 0.8268 0.2264
I 0.2123 0.8571 0.8552
I 0.5248 0.2564 0.5581
I 0.5248 0.4666 0.7684
I 0.6004 0.3268 0.2284
I 0.6004 0.8720 0.7736
I 0.6983 0.7564 0.2316
I 0.6983 0.9666 0.4419


Record 3
GdDyMgSn | PBE-GGA | optimized geometry

Calculated formation energy: -0.415 eV per atom
Crystal system: cubic
Fermi-level density of states: 3.4 states/eV/f.u.

a = 5.3118 Å, b = 5.3118 Å, c = 5.3118 Å
α = 60.00°, β = 60.00°, γ = 60.00°
Positions (direct):
Gd 0.0000 0.0000 0.0000
Dy 0.5000 0.5000 0.5000
Mg 0.7500 0.7500 0.7500
Sn 0.2500 0.2500 0.2500


Record 4
Ce3InSn5 | PBE-GGA | optimized geometry

Calculated formation energy: -0.453 eV per atom
Crystal system: hexagonal
Fermi-level density of states: 14.8 states/eV/f.u.

a = 9.3260 Å, b = 9.3260 Å, c = 6.5015 Å
α = 90.00°, β = 90.00°, γ = 120.00°
Positions (direct):
Ce 0.0000 0.3745 0.2500
Ce 0.0000 0.6255 0.7500
Ce 0.3745 0.0000 0.2500
Ce 0.3745 0.3745 0.7500
Ce 0.6255 0.0000 0.7500
Ce 0.6255 0.6255 0.2500
In 0.0000 0.0000 0.0000
In 0.0000 0.0000 0.5000
Sn 0.0000 0.2898 0.7500
Sn 0.0000 0.7102 0.2500
Sn 0.2898 0.0000 0.7500
Sn 0.2898 0.2898 0.2500
Sn 0.3333 0.6667 0.0000
Sn 0.3333 0.6667 0.5000
Sn 0.6667 0.3333 0.0000
Sn 0.6667 0.3333 0.5000
Sn 0.7102 0.0000 0.2500
Sn 0.7102 0.7102 0.7500


> Which of these has the lowest Fermi-level density of states?

Er2HgRh


> Among the records above, which one has the highest Fermi-level density of states?

Ce3InSn5